1.
Crystalline BaTeMo2 at its relaxed geometry, computed with GGA-PBE.

Geometry as POSCAR:
```
BaTeMo2
1.0
-5.014 1.070 0.862
0.555 -0.366 3.684
1.355 5.648 0.870
Ba Mo Te
1 2 1
Direct
0.500 0.750 0.750 Ba
0.000 0.028 0.120 Mo
0.000 0.472 0.380 Mo
0.500 0.250 0.250 Te
```

The density of states at the Fermi level is 4.162 states/eV per cell. Its space group is P2/m. As for the total DFT energy (no corrections): -24.53 eV for the cell shown. Its crystal system is monoclinic.


2.
Crystalline Ba2TeMo at its relaxed geometry, computed with GGA-PBE.

Geometry as POSCAR:
```
Ba2TeMo
1.0
7.019 -0.017 0.000
3.570 6.043 0.000
-5.294 -3.013 3.486
Ba Mo Te
2 1 1
Direct
0.000 0.000 0.000 Ba
0.250 0.750 0.500 Ba
0.500 0.500 0.000 Mo
0.750 0.250 0.500 Te
```

The density of states at the Fermi level is 1.544 states/eV per cell. Its space group is I-4m2. As for the total DFT energy (no corrections): -16.94 eV for the cell shown. Its crystal system is tetragonal.


3.
Crystalline BaTe4Mo at its relaxed geometry, computed with GGA-PBE.

Geometry as POSCAR:
```
BaTe4Mo
1.0
0.000 4.619 4.619
4.619 0.000 4.619
4.619 4.619 0.000
Ba Te Mo
1 4 1
Direct
0.750 0.750 0.750 Ba
0.878 0.374 0.374 Te
0.374 0.374 0.878 Te
0.374 0.878 0.374 Te
0.374 0.374 0.374 Te
0.000 0.000 0.000 Mo
```

The density of states at the Fermi level is 2.498 states/eV per cell. Its space group is F-43m. As for the total DFT energy (no corrections): -22.98 eV for the cell shown. Its crystal system is cubic.


Q: Which total magnetic moment values were calculated for the entries above? A: 0.00 4.03 5.54, in μB/cell.
Q: Which formation energy from raw total energies values were calculated for the entries above? A: 0.55 0.22 0.39, in eV/atom.